# ErTiPbAu (PBE-GGA, optimized geometry)
# Total DFT energy (no corrections): -5.17 eV/atom
# Energy of formation: -310 meV per atom
# Symmetry: F-43m, No. 216
data_ErTiPbAu
_cell_length_a 5.0210
_cell_length_b 5.0210
_cell_length_c 5.0210
_cell_angle_alpha 60.00
_cell_angle_beta 60.00
_cell_angle_gamma 60.00
_symmetry_space_group_name_H-M 'P 1'
_symmetry_Int_Tables_number 1
loop_
_symmetry_equiv_pos_as_xyz
'x,y,z'
loop_
_atom_site_label
_atom_site_type_symbol
_atom_site_fract_x
_atom_site_fract_y
_atom_site_fract_z
Er1 Er 0.0000 0.0000 0.0000
Ti1 Ti 0.5000 0.5000 0.5000
Pb1 Pb 0.7500 0.7500 0.7500
Au1 Au 0.2500 0.2500 0.2500